Record 1
A relaxed Li2CoPb crystal. Source: Alexandria, functional PBE.

## Properties
As for the space-group type: P2/m, No. 10. As for the density of states at the Fermi level: 3.00 states/eV per cell. The size of the total moment is 1.16 μB per cell. The total energy comes out at -13.99 eV for the cell shown. For the formation energy, the calculation gives 0.647 eV per formula unit.

Lattice parameters (Å, degrees): 4.5780 3.0950 4.9010 78.40 90.00 90.00
Site moments in Bohr magnetons follow the coordinates.
Atoms (fractional coordinates):
Pb1 0.5000 0.2500 0.2500  0.00
Li1 0.0000 0.5403 0.5257  -0.01
Li2 0.0000 0.9597 0.9743  -0.01
Co1 0.5000 0.7500 0.7500  1.26

=====

Record 2
A relaxed Pm3Er2ScBi6 crystal. Source: Alexandria, functional PBE.

## Properties
As for the space-group type: C2/m, No. 12. As for the density of states at the Fermi level: 2.05 states/eV per cell. The size of the total moment is 0.00 μB per cell. The total energy comes out at -63.11 eV for the cell shown. For the formation energy, the calculation gives -10.117 eV per formula unit.

Lattice parameters (Å, degrees): 4.4901 8.9650 10.0214 102.73 102.95 90.00
Atoms (fractional coordinates):
Er1 0.8341 0.6674 0.6683
Er2 0.1659 0.3326 0.3317
Pm1 0.1681 0.8341 0.3362
Pm2 0.5000 0.5000 0.0000
Pm3 0.8319 0.1659 0.6638
Bi1 0.9989 0.7636 0.9978
Bi2 0.6611 0.0864 0.3222
Bi3 0.3312 0.4218 0.6624
Bi4 0.6688 0.5782 0.3376
Bi5 0.0011 0.2364 0.0022
Bi6 0.3389 0.9136 0.6778
Sc1 0.5000 0.0000 0.0000

=====

Record 3
A relaxed HfMg2SiOs crystal. Source: Alexandria, functional PBE.

## Properties
The formation energy from raw total energies comes out at 8.15 eV/f.u. As for the space-group type: P4/mmm, No. 123. As for the density of states at the Fermi level: 4.78 states/eV per cell. The size of the total moment is 0.00 μB per cell. The total energy comes out at -21.64 eV for the cell shown.

Lattice parameters (Å, degrees): 5.4808 4.6979 5.4808 90.00 90.00 90.00
Atoms (fractional coordinates):
Si1 0.5000 0.5000 0.5000
Os1 0.0000 0.5000 0.0000
Mg1 0.5000 0.0000 0.0000
Mg2 0.0000 0.0000 0.5000
Hf1 0.0000 0.0000 0.0000

=====

Record 4
A relaxed TbYIn crystal. Source: Alexandria, functional PBE.

## Properties
As for the space-group type: P3m1, No. 156. As for the density of states at the Fermi level: 2.33 states/eV per cell. The size of the total moment is 0.00 μB per cell. The total energy comes out at -14.56 eV for the cell shown. As for the energy above the lowest structure with this stoichiometry: 0.048 eV/atom. For the formation energy, the calculation gives -0.728 eV per formula unit.

Lattice parameters (Å, degrees): 3.6481 5.2401 5.2401 120.00 90.00 90.00
Atoms (fractional coordinates):
Y1 0.3888 0.3333 0.6667
Tb1 0.9454 0.0000 0.0000
In1 0.6658 0.6667 0.3333

=====

Record 5
A relaxed KPmAuO2 crystal. Source: Alexandria, functional PBE.

## Properties
The formation energy from raw total energies comes out at -7.96 eV/f.u. As for the space-group type: P2/c, No. 13. As for the density of states at the Fermi level: 3.64 states/eV per cell. The size of the total moment is 0.00 μB per cell. The total energy comes out at -54.01 eV for the cell shown.

Lattice parameters (Å, degrees): 5.4854 6.7033 6.7636 94.12 90.00 90.00
Atoms (fractional coordinates):
Pm1 0.5201 0.0000 0.7500
Pm2 0.4799 0.0000 0.2500
O1 0.3783 0.7926 0.4944
O2 0.6217 0.2074 0.5056
O3 0.3783 0.2074 0.0056
O4 0.6217 0.7926 0.9944
K1 0.2839 0.5000 0.7500
K2 0.7161 0.5000 0.2500
Au1 0.0000 0.0000 0.5000
Au2 0.0000 0.0000 0.0000

=====

Record 6
A relaxed Sm2Dy2YTm2 crystal. Source: Alexandria, functional PBE.

## Properties
As for the space-group type: C2/m, No. 12. As for the density of states at the Fermi level: 9.52 states/eV per cell. The size of the total moment is 0.00 μB per cell. The total energy comes out at -33.91 eV for the cell shown. For the formation energy, the calculation gives 0.144 eV per formula unit.

Lattice parameters (Å, degrees): 5.0303 6.1501 7.9570 97.48 90.00 114.14
Atoms (fractional coordinates):
Sm1 0.4277 0.8554 0.2846
Sm2 0.5723 0.1446 0.7154
Tm1 0.7141 0.4282 0.1430
Tm2 0.2859 0.5718 0.8570
Dy1 0.8569 0.7138 0.5707
Dy2 0.1431 0.2862 0.4293
Y1 0.0000 0.0000 0.0000

=====

Record 7
A relaxed Li5Y2Zn5 crystal. Source: Alexandria, functional PBE.

## Properties
As for the space-group type: Pmmm, No. 47. As for the density of states at the Fermi level: 7.30 states/eV per cell. The size of the total moment is 0.00 μB per cell. The total energy comes out at -31.08 eV for the cell shown. For the formation energy, the calculation gives -2.213 eV per formula unit.

Lattice parameters (Å, degrees): 4.5164 5.1537 9.2673 90.00 90.00 90.00
Atoms (fractional coordinates):
Li1 0.5000 0.2500 0.7547
Li2 0.5000 0.7500 0.7547
Li3 0.5000 0.7500 0.2453
Li4 0.5000 0.5000 0.5000
Li5 0.5000 0.2500 0.2453
Zn1 0.0000 0.5000 0.6681
Zn2 0.0000 0.5000 0.3319
Zn3 0.0000 0.0000 0.8283
Zn4 0.0000 0.0000 0.1717
Zn5 0.5000 0.0000 0.0000
Y1 0.0000 0.5000 0.0000
Y2 0.0000 0.0000 0.5000

=====

Record 8
A relaxed BaLi2NiPt crystal. Source: Alexandria, functional PBE.

## Properties
As for the space-group type: P4/mmm, No. 123. As for the density of states at the Fermi level: 3.56 states/eV per cell. The size of the total moment is 0.00 μB per cell. The total energy comes out at -18.30 eV for the cell shown. For the formation energy, the calculation gives -0.730 eV per formula unit.

Lattice parameters (Å, degrees): 4.7480 4.7480 4.9655 90.00 90.00 90.00
Atoms (fractional coordinates):
Pt1 0.0000 0.0000 0.0000
Li1 0.5000 0.0000 0.0000
Li2 0.0000 0.5000 0.0000
Ni1 0.0000 0.0000 0.5000
Ba1 0.5000 0.5000 0.5000

=====

Record 9
A relaxed Li6PmMg6 crystal. Source: Alexandria, functional PBE.

## Properties
As for the space-group type: Immm, No. 71. As for the density of states at the Fermi level: 9.25 states/eV per cell. The size of the total moment is 0.00 μB per cell. The total energy comes out at -26.20 eV for the cell shown. For the formation energy, the calculation gives -0.394 eV per formula unit.

Lattice parameters (Å, degrees): 5.4670 7.7133 7.7133 83.90 69.24 69.24
Atoms (fractional coordinates):
Mg1 0.3015 0.1985 0.1985
Mg2 0.6517 0.3483 0.3483
Mg3 0.6985 0.8015 0.8015
Mg4 0.0000 0.3509 0.6491
Mg5 0.0000 0.6491 0.3509
Mg6 0.3483 0.6517 0.6517
Li1 0.5000 0.5000 0.0000
Li2 0.0000 0.0000 0.5000
Li3 0.0000 0.5000 0.0000
Li4 0.5000 0.0000 0.5000
Li5 0.5000 0.7779 0.2221
Li6 0.5000 0.2221 0.7779
Pm1 0.0000 0.0000 0.0000

=====

Record 10
A relaxed NpU3Ru2 crystal. Source: Alexandria, functional PBE.

## Properties
As for the space-group type: P-1, No. 2. As for the density of states at the Fermi level: 25.60 states/eV per cell. The size of the total moment is 0.00 μB per cell. The total energy comes out at -132.87 eV for the cell shown. For the formation energy, the calculation gives -1.079 eV per formula unit.

Lattice parameters (Å, degrees): 5.5136 5.4800 9.2731 116.27 116.38 65.11
Atoms (fractional coordinates):
Ru1 0.2303 0.7225 0.5113
Ru2 0.2441 0.7713 0.9786
Ru3 0.7559 0.2287 0.0214
Ru4 0.7697 0.2775 0.4887
Np1 0.5864 0.7474 0.3260
Np2 0.4136 0.2526 0.6740
U1 0.1654 0.1683 0.3462
U2 0.1130 0.2524 0.8203
U3 0.8870 0.7476 0.1797
U4 0.8346 0.8317 0.6538
U5 0.3655 0.3376 0.1629
U6 0.6345 0.6624 0.8371

=====

Record 11
A relaxed Ba6Hg2Rh crystal. Source: Alexandria, functional PBE.

## Properties
As for the space-group type: P2_1/c, No. 14. As for the density of states at the Fermi level: 16.78 states/eV per cell. The size of the total moment is 0.06 μB per cell. The total energy comes out at -44.77 eV for the cell shown. For the formation energy, the calculation gives -2.895 eV per formula unit.

Lattice parameters (Å, degrees): 7.9857 8.9890 11.7214 90.00 91.56 90.00
Atoms (fractional coordinates):
Ba1 0.3180 0.8311 0.4405
Ba2 0.1820 0.3311 0.0595
Ba3 0.8683 0.9696 0.2548
Ba4 0.6317 0.4696 0.2452
Ba5 0.1592 0.3028 0.4376
Ba6 0.6820 0.1689 0.5595
Ba7 0.3683 0.5304 0.7548
Ba8 0.3408 0.8028 0.0624
Ba9 0.8180 0.6689 0.9405
Ba10 0.1317 0.0304 0.7452
Ba11 0.6592 0.1972 0.9376
Ba12 0.8408 0.6972 0.5624
Hg1 0.4503 0.1139 0.2515
Hg2 0.0497 0.6139 0.2485
Hg3 0.5497 0.8861 0.7485
Hg4 0.9503 0.3861 0.7515
Rh1 0.0000 0.0000 0.5000
Rh2 0.5000 0.5000 0.0000

=====

Record 12
A relaxed CrSiW crystal. Source: Alexandria, functional PBE.

## Properties
The formation energy from raw total energies comes out at -0.23 eV/f.u. As for the space-group type: I4mm, No. 107. As for the density of states at the Fermi level: 1.68 states/eV per cell. The size of the total moment is 0.00 μB per cell. The total energy comes out at -28.23 eV for the cell shown.

Lattice parameters (Å, degrees): 4.7685 4.7685 4.7685 142.53 142.53 54.04
Atoms (fractional coordinates):
Cr1 0.0018 0.0018 0.0000
Si1 0.6595 0.6595 0.0000
W1 0.3387 0.3387 0.0000